[1]
# K2TaCo

A relaxed structure of K2TaCo (PBE, Alexandria via LeMat-Bulk).

POSCAR file:
```
K2TaCo
1.0
2.852 0.000 0.000
0.000 2.852 0.000
0.000 0.000 11.779
K Ta Co
2 1 1
direct
0.000 0.000 0.227
0.000 0.000 0.773
0.500 0.500 0.500
0.500 0.500 0.000
```

Results
Space group: P4/mmm (123)
Uncorrected energy in eV/atom: -3.8976

=====

[2]
# K2TaCo

A relaxed structure of K2TaCo (PBE, Alexandria via LeMat-Bulk).

POSCAR file:
```
K2TaCo
1.0
3.547 0.000 0.000
-1.774 3.072 0.000
0.000 0.000 34.299
K Ta Co
6 3 3
direct
0.000 0.000 0.000
0.000 0.000 0.208
0.333 0.667 0.667
0.333 0.667 0.875
0.667 0.333 0.333
0.667 0.333 0.542
0.000 0.000 0.765
0.333 0.667 0.432
0.667 0.333 0.099
0.000 0.000 0.466
0.333 0.667 0.133
0.667 0.333 0.799
```

Results
Space group: R3m (160)
Uncorrected energy in eV/atom: -4.5693

=====

no.,energy of formation from the pure elements (meV per atom),magnetic moment (μB per atom),ΔE to the lowest computed polymorph (eV/atom)
1,1390.7,0.4952,0.763
2,719.1,0.0008,0.091